Below is BaIn4Au2 after structural relaxation, with properties calculated at the PBE level.

Properties
- Final energy: -89.5 eV per cell
- Polymorph energy (0 for the lowest one): 0 meV per atom

Cell lengths 19.3499, 4.8847, 7.6283 Å; angles 90.00, 90.00, 90.00 degrees
With the nearest neighbours (Å) after each atom.
Space group Pnma (No. 62)
Symmetry-distinct sites (fractional):
Ba (0.1365, 0.2500, 0.0138) x4  10 In 3.48-3.88, 4 Au 3.59-3.68
In (0.0347, 0.7500, 0.8177) x4  2 Au 2.88, 2 In 3.13-3.18
In (0.0731, 0.2500, 0.4970) x4  4 Au 2.87-3.14, 1 In 3.18
In (0.1854, 0.7500, 0.3219) x4  4 Au 2.88-2.97, 1 In 3.03
In (0.1914, 0.7500, 0.7182) x4  3 Au 2.88-2.91, 2 In 3.03-3.13
Au (0.0390, 0.7500, 0.2531) x4  6 In 2.88-3.14
Au (0.2210, 0.2500, 0.5238) x4  7 In 2.87-2.97